(1)
An optimized crystal structure of LiRu2Cl, computed with GGA-PBE.

abc: 3.0973 3.0973 5.9178
angles: 90.00 90.00 90.00
Fractional positions:
Cl 0.5000 0.5000 0.2500
Li 0.5000 0.5000 0.7500
Ru 0.0000 0.0000 0.9516
Ru 0.0000 0.0000 0.5484

energy relative to the elements, uncorrected: 2.8 eV/f.u.
total energy: -4.888 eV per atom
energy above the lowest structure with this stoichiometry: 0.747 eV/atom

***

(2)
An optimized crystal structure of TmThGa, computed with GGA-PBE.

abc: 3.5204 3.5204 6.9187
angles: 104.74 104.74 90.00
Fractional positions:
Tm 0.3112 0.3112 0.6224
Th 0.0158 0.0158 0.0316
Ga 0.6730 0.6730 0.3460

total energy: -5.255 eV per atom
E_form: -27.2 kJ per mole of atoms
energy above the lowest structure with this stoichiometry: 0.000 eV/atom

***

> Which of these has the lowest total energy?

TmThGa